Below is crystalline Tb2HoIn3Ni3 at its relaxed geometry, with properties calculated at the PBE level.

Unit cell a=3.8043 b=7.4315 c=7.4315 alpha=120.01 beta=90.00 gamma=90.00
With the nearest neighbours (Å) after each atom.
Element x y z (fractional)
Tb 0.0000 0.2055 0.7945  5 Ni 2.94-3.06, 6 In 3.13-3.28
Tb 0.0000 0.7945 0.2055  5 Ni 2.94-3.06, 6 In 3.13-3.28
Ho 0.0000 0.3839 0.3839  5 Ni 2.94-3.05, 6 In 3.13-3.27
In 0.5000 0.0498 0.0498  4 Ni 2.69-2.81
In 0.5000 0.5399 0.7935  4 Ni 2.68-2.83
In 0.5000 0.7935 0.5399  4 Ni 2.68-2.83
Ni 0.0000 0.7939 0.7939  6 In 2.68-2.69
Ni 0.5000 0.1287 0.4607  3 In 2.81-2.83, 2 Ho 2.94, 4 Tb 2.94-2.95
Ni 0.5000 0.4607 0.1287  3 In 2.81-2.83, 2 Ho 2.94, 4 Tb 2.94-2.95



Below is crystalline Zn2HgIr at its relaxed geometry, with properties calculated at the PBE level.

## Properties
ΔH_f (0 K) (eV/atom): 0.199

Unit cell a=4.5013 b=4.5013 c=4.5013 alpha=60.00 beta=60.00 gamma=60.00
With the nearest neighbours (Å) after each atom.
Element x y z (fractional)
Zn 0.0000 0.0000 0.0000  4 Hg 2.76, 4 Zn 2.76
Zn 0.2500 0.2500 0.2500  4 Ir 2.76, 4 Zn 2.76
Hg 0.7500 0.7500 0.7500  4 Zn 2.76, 4 Ir 2.76
Ir 0.5000 0.5000 0.5000  4 Hg 2.76, 4 Zn 2.76



Below is crystalline GdTlB at its relaxed geometry, with properties calculated at the PBE level.

## Properties
Polymorph energy (0 for the lowest one) (meV per atom): 652

Unit cell a=4.7140 b=4.7140 c=4.7140 alpha=60.00 beta=60.00 gamma=60.00
With the nearest neighbours (Å) after each atom.
Element x y z (fractional)
Gd 0.0000 0.0000 0.0000  4 B 2.89, 4 Tl 2.89
Tl 0.2500 0.2500 0.2500  4 Gd 2.89
B 0.7500 0.7500 0.7500  4 Gd 2.89



Below is crystalline TbY2 at its relaxed geometry, with properties calculated at the PBE level.

## Properties
ΔH_f (0 K) (eV/atom): 2.528
Polymorph energy (0 for the lowest one) (meV per atom): 2233

Unit cell a=9.5171 b=9.5171 c=9.5171 alpha=60.00 beta=60.00 gamma=60.00
With the nearest neighbours (Å) after each atom.
Element x y z (fractional)
Tb 0.1250 0.1250 0.1250  4 Y 2.91
Tb 0.8750 0.8750 0.8750  4 Y 2.91
Y 0.0000 0.0000 0.0000  2 Tb 2.91
Y 0.0000 0.0000 0.5000  2 Tb 2.91
Y 0.0000 0.5000 0.0000  2 Tb 2.91
Y 0.5000 0.0000 0.0000  2 Tb 2.91



Below is crystalline Pr2Sn2O5 at its relaxed geometry, with properties calculated at the PBE level.

## Properties
Polymorph energy (0 for the lowest one) (meV per atom): 136

Unit cell a=4.3038 b=4.3038 c=7.1288 alpha=90.00 beta=90.00 gamma=90.00
With the nearest neighbours (Å) after each atom.
Element x y z (fractional)
Pr 0.0000 0.0000 0.0000  8 O 2.76
Pr 0.0000 0.0000 0.5000  12 O 2.83-3.04
Sn 0.5000 0.5000 0.2130  5 O 2.05-2.16
Sn 0.5000 0.5000 0.7870  5 O 2.05-2.16
O 0.0000 0.5000 0.2430  2 Sn 2.16
O 0.0000 0.5000 0.7570  2 Sn 2.16
O 0.5000 0.0000 0.2430  2 Sn 2.16
O 0.5000 0.0000 0.7570  2 Sn 2.16
O 0.5000 0.5000 0.5000  2 Sn 2.05



Below is crystalline LiScTlPd at its relaxed geometry, with properties calculated at the PBE level.

## Properties
Polymorph energy (0 for the lowest one) (meV per atom): 133

Unit cell a=4.6956 b=4.6956 c=4.6956 alpha=60.00 beta=60.00 gamma=60.00
With the nearest neighbours (Å) after each atom.
Element x y z (fractional)
Li 0.0000 0.0000 0.0000  4 Pd 2.88, 4 Sc 2.88
Sc 0.2500 0.2500 0.2500  4 Tl 2.88, 4 Li 2.88
Tl 0.5000 0.5000 0.5000  4 Pd 2.88, 4 Sc 2.88
Pd 0.7500 0.7500 0.7500  4 Tl 2.88, 4 Li 2.88



Record-wise E_tot values, in eV per formula unit: -43.35 -10.89 -11.07 -9.98 -59.13 -17.22